Record 1
First-principles (GGA-PBE) data for a geometry-optimized Tb3Pa2N4 structure, as listed in the Alexandria database.

Cell and atoms, written as CIF:
```
data_Tb3Pa2N4
_chemical_formula_sum 'Tb6 Pa4 N8'
_symmetry_space_group_name_H-M 'C 1 2/m 1'
_symmetry_Int_Tables_number 12
_cell_length_a 11.6637
_cell_length_b 3.4803
_cell_length_c 8.6581
_cell_angle_alpha 90.00
_cell_angle_beta 120.72
_cell_angle_gamma 90.00
loop_
_symmetry_equiv_pos_as_xyz
'x,y,z'
'-x,-y,-z'
'-x,y,-z'
'x,-y,z'
'x+1/2,y+1/2,z'
'-x+1/2,-y+1/2,-z'
'-x+1/2,y+1/2,-z'
'x+1/2,-y+1/2,z'
loop_
_atom_site_label
_atom_site_type_symbol
_atom_site_fract_x
_atom_site_fract_y
_atom_site_fract_z
Tb1 Tb 0.0000 0.0000 0.0000
Tb2 Tb 0.2026 0.0000 0.8050
Pa1 Pa 0.1011 0.5000 0.3901
N1 N 0.0939 0.5000 0.8903
N2 N 0.1975 0.0000 0.3044
```

Raw total energy   -156.73 eV for the cell shown
Total magnetization   0.0 Bohr magnetons per cell
Volume   302 Å³ per cell
D(E_F)   0.655 states/eV/atom

Record 2
First-principles (GGA-PBE) data for a geometry-optimized TbPaN3 structure, as listed in the Alexandria database.

Cell and atoms, written as CIF:
```
data_TbPaN3
_chemical_formula_sum 'Tb4 Pa4 N12'
_symmetry_space_group_name_H-M 'C 1 2/m 1'
_symmetry_Int_Tables_number 12
_cell_length_a 13.3617
_cell_length_b 3.6319
_cell_length_c 6.8689
_cell_angle_alpha 90.00
_cell_angle_beta 118.96
_cell_angle_gamma 90.00
loop_
_symmetry_equiv_pos_as_xyz
'x,y,z'
'-x,-y,-z'
'-x,y,-z'
'x,-y,z'
'x+1/2,y+1/2,z'
'-x+1/2,-y+1/2,-z'
'-x+1/2,y+1/2,-z'
'x+1/2,-y+1/2,z'
loop_
_atom_site_label
_atom_site_type_symbol
_atom_site_fract_x
_atom_site_fract_y
_atom_site_fract_z
Tb1 Tb 0.1193 0.0000 0.2840
Pa1 Pa 0.1314 0.5000 0.7677
N1 N 0.0599 0.5000 0.3977
N2 N 0.0916 0.0000 0.9175
N3 N 0.2290 0.0000 0.7110
```

Raw total energy   -183.22 eV for the cell shown
Total magnetization   0.0 Bohr magnetons per cell
Volume   292 Å³ per cell
D(E_F)   0.512 states/eV/atom